Computed, not measured: BaScCd at its PBEsol-relaxed geometry at the SCAN level of DFT.

Crystal system: cubic
ΔE to the lowest computed polymorph, meV/atom: 687
M_tot, Bohr magnetons per cell: 0.00

POSCAR file:
```
BaScCd
1.0
7.469 0.000 0.000
0.000 7.469 0.000
0.000 0.000 7.469
Ba Sc Cd
4 4 4
Direct
0.000 0.000 0.000 Ba
0.000 0.500 0.500 Ba
0.500 0.000 0.500 Ba
0.500 0.500 0.000 Ba
0.250 0.250 0.750 Sc
0.250 0.750 0.250 Sc
0.750 0.250 0.250 Sc
0.750 0.750 0.750 Sc
0.250 0.250 0.250 Cd
0.250 0.750 0.750 Cd
0.750 0.250 0.750 Cd
0.750 0.750 0.250 Cd
```